1.
Here is a relaxed structure of Al2Hg2Sb from Alexandria via LeMat-Bulk. Energies are from GGA-PBE.

```
data_Al2Hg2Sb
_cell_length_a 8.481
_cell_length_b 8.481
_cell_length_c 3.146
_cell_angle_alpha 90.00
_cell_angle_beta 90.00
_cell_angle_gamma 90.00
_space_group_name_H-M_alt 'P 4/m b m'
_space_group_IT_number 127
_space_group_name_Hall '-P 4 2ab'
loop_
_atom_site_label
_atom_site_fract_x
_atom_site_fract_y
_atom_site_fract_z
Al1 0.118 0.382 0.000
Hg1 0.179 0.679 0.500
Sb1 0.000 0.000 0.500
```

Results
D(E_F) = 4.065 states/eV/cell
total magnetization = 0.000 Bohr magnetons per cell
energy above the lowest structure with this stoichiometry = 0.034 eV per atom

2.
Here is a relaxed structure of Al2Hg2Sb from Alexandria via LeMat-Bulk. Energies are from GGA-PBE.

```
data_Al2Hg2Sb
_cell_length_a 4.272
_cell_length_b 4.272
_cell_length_c 12.695
_cell_angle_alpha 90.00
_cell_angle_beta 90.00
_cell_angle_gamma 90.00
_space_group_name_H-M_alt 'I 4/m m m'
_space_group_IT_number 139
_space_group_name_Hall '-I 4 2'
loop_
_atom_site_label
_atom_site_fract_x
_atom_site_fract_y
_atom_site_fract_z
Al1 0.000 0.000 0.100
Hg1 0.000 0.500 0.250
Sb1 0.000 0.000 0.500
```

Results
D(E_F) = 2.642 states/eV/cell
total magnetization = 0.000 Bohr magnetons per cell
energy above the lowest structure with this stoichiometry = 0.044 eV per atom

3.
Here is a relaxed structure of Al2HgSb from Alexandria via LeMat-Bulk. Energies are from GGA-PBE.

```
data_Al2HgSb
_cell_length_a 4.199
_cell_length_b 3.858
_cell_length_c 5.834
_cell_angle_alpha 90.00
_cell_angle_beta 106.95
_cell_angle_gamma 90.00
_space_group_name_H-M_alt 'P 1 m 1'
_space_group_IT_number 6
loop_
_space_group_symop_operation_xyz
'x,y,z'
'x,-y,z'
loop_
_atom_site_label
_atom_site_fract_x
_atom_site_fract_y
_atom_site_fract_z
Al1 0.000 0.000 0.000
Al2 0.297 0.500 0.372
Hg1 0.483 0.500 0.919
Sb1 0.845 0.000 0.487
```

Results
D(E_F) = 0.872 states/eV/cell
total magnetization = 0.000 Bohr magnetons per cell
energy above the lowest structure with this stoichiometry = 0.009 eV per atom

4.
Here is a relaxed structure of Al3HgSb from Alexandria via LeMat-Bulk. Energies are from GGA-PBE.

```
data_Al3HgSb
_cell_length_a 5.045
_cell_length_b 5.045
_cell_length_c 5.045
_cell_angle_alpha 90.00
_cell_angle_beta 90.00
_cell_angle_gamma 90.00
_space_group_name_H-M_alt 'P m -3 m'
_space_group_IT_number 221
_space_group_name_Hall '-P 4 2 3'
loop_
_atom_site_label
_atom_site_fract_x
_atom_site_fract_y
_atom_site_fract_z
Al1 0.000 0.000 0.500
Hg1 0.000 0.000 0.000
Sb1 0.500 0.500 0.500
```

Results
D(E_F) = 2.698 states/eV/cell
total magnetization = 0.000 Bohr magnetons per cell
energy above the lowest structure with this stoichiometry = 0.000 eV per atom

5.
Here is a relaxed structure of Al2HgSb from Alexandria via LeMat-Bulk. Energies are from GGA-PBE.

```
data_Al2HgSb
_cell_length_a 2.949
_cell_length_b 3.919
_cell_length_c 7.828
_cell_angle_alpha 90.00
_cell_angle_beta 90.01
_cell_angle_gamma 90.00
_space_group_name_H-M_alt 'P 1 2/m 1'
_space_group_IT_number 10
loop_
_space_group_symop_operation_xyz
'x,y,z'
'-x,-y,-z'
'-x,y,-z'
'x,-y,z'
loop_
_atom_site_label
_atom_site_fract_x
_atom_site_fract_y
_atom_site_fract_z
Al1 0.002 0.000 0.270
Hg1 0.500 0.500 0.500
Sb1 0.000 0.500 0.000
```

Results
D(E_F) = 1.271 states/eV/cell
total magnetization = 0.000 Bohr magnetons per cell
energy above the lowest structure with this stoichiometry = 0.034 eV per atom

6.
Here is a relaxed structure of Al2HgSb from Alexandria via LeMat-Bulk. Energies are from GGA-PBE.

```
data_Al2HgSb
_cell_length_a 7.126
_cell_length_b 7.126
_cell_length_c 7.126
_cell_angle_alpha 90.00
_cell_angle_beta 90.00
_cell_angle_gamma 90.00
_space_group_name_H-M_alt 'F m -3 m'
_space_group_IT_number 225
_space_group_name_Hall '-F 4 2 3'
loop_
_atom_site_label
_atom_site_fract_x
_atom_site_fract_y
_atom_site_fract_z
Al1 0.250 0.250 0.250
Hg1 0.000 0.000 0.000
Sb1 0.000 0.000 0.500
```

Results
D(E_F) = 6.805 states/eV/cell
total magnetization = 0.000 Bohr magnetons per cell
energy above the lowest structure with this stoichiometry = 0.096 eV per atom

Number 1: uncorrected formation energy 214.4 meV per atom. Number 2: uncorrected formation energy 224.8 meV per atom. Number 3: uncorrected formation energy 130.1 meV per atom. Number 4: uncorrected formation energy 556.7 meV per atom. Number 5: uncorrected formation energy 154.4 meV per atom. Number 6: uncorrected formation energy 216.7 meV per atom.